No. 1
5
Lattice="5.0862 0.0000 0.0000 0.0000 5.0862 0.0000 0.0000 0.0000 5.0862" Properties=species:S:1:pos:R:3 comment="PBE-GGA CdAs3P, optimized geometry" final_energy_ev_per_atom=-2.706 e_above_lowest_polymorph_mev_per_atom=735 magnetic_moment_mub_per_cell=0.000 vol_a3_per_fu=131.6 delta_e_f_ev_per_fu=6.74 pbc="T T T"
Cd 0.0000 0.0000 0.0000
As 0.0000 0.0000 2.5431
As 0.0000 2.5431 0.0000
As 2.5431 0.0000 0.0000
P 2.5431 2.5431 2.5431

No. 2
10
Lattice="6.1118 0.0000 0.0000 0.0000 4.5071 0.0000 -0.0124 0.0000 9.1656" Properties=species:S:1:pos:R:3 comment="PBE-GGA Cd3AsP, optimized geometry" final_energy_ev_per_atom=-2.547 e_above_lowest_polymorph_mev_per_atom=0 magnetic_moment_mub_per_cell=0.000 vol_a3_per_fu=126.2 delta_e_f_ev_per_fu=0.07 pbc="T T T"
Cd -0.0013 1.1268 3.2398
Cd 1.4593 3.3804 8.8312
Cd 3.0342 3.3804 5.9132
Cd 3.0652 1.1268 3.2524
Cd 4.6401 1.1268 0.3344
Cd 6.1007 3.3804 5.9258
As 1.5443 1.1268 0.9749
As 4.5552 3.3804 8.1906
P 1.5176 1.1268 5.4633
P 4.5818 3.3804 3.7023